Entry from OQMD via LeMat-Bulk: a geometry-optimized AlAgTeS structure (GGA-PBE).

Geometry as POSCAR:
```
AlAgTeS
1.0
-5.8429 0.3022 1.7524
-1.2392 -4.9884 -3.2988
4.5073 -1.0131 5.1691
S Te Ag Al
2 2 2 2
Direct
0.3670 0.1609 0.2511
0.1609 0.3670 0.7511
0.5965 0.8690 0.7494
0.8690 0.5965 0.2494
0.7532 0.0394 0.4982
0.0394 0.7532 0.9982
0.2498 0.4642 0.5013
0.4642 0.2498 0.0013
```

## Properties
As for the space-group type: Cc. Its crystal system is monoclinic. The value obtained for the electronic total energy is -3.991 eV per atom.